# Li2SbWO6

Li2SbWO6 after structural relaxation (PBE+U, Alexandria via LeMat-Bulk).

Properties
Energy (eV/atom): -6.230
Size of the total moment (μB/atom): 0.000

Structure (CIF):
```
data_Li2SbWO6
_cell_length_a 5.736
_cell_length_b 5.736
_cell_length_c 4.051
_cell_angle_alpha 90.00
_cell_angle_beta 90.00
_cell_angle_gamma 90.00
_space_group_name_H-M_alt 'P 4 m m'
_space_group_IT_number 99
_space_group_name_Hall 'P 4 -2'
loop_
_atom_site_label
_atom_site_type_symbol
_atom_site_fract_x
_atom_site_fract_y
_atom_site_fract_z
_atom_site_occupancy
Li1 Li 0.000 0.500 0.000 1
Sb1 Sb 0.000 0.000 0.779 1
W1 W 0.500 0.500 0.760 1
O1 O 0.000 0.000 0.286 1
O2 O 0.264 0.264 0.840 1
O3 O 0.500 0.500 0.313 1
```